Entry 1:
First-principles (PBE-GGA) data for FeCo2Cu after structural relaxation, as listed in the Alexandria database.

Cell and atoms, written as POSCAR:
```
FeCo2Cu
1.0
-1.439 2.014 3.983
1.439 -2.014 3.983
1.439 2.014 -3.983
Fe Co Cu
1 2 1
Cartesian
0.000 0.000 0.000 Fe
1.439 0.000 1.922 Co
0.000 2.014 2.061 Co
0.000 0.000 3.983 Cu
```

Properties
- Calculated volume: 11.543 Å³ per atom
- Final energy: -6.568 eV/atom
- Space-group type: Immm (71)
- Formation enthalpy at 0 K: 125 meV per atom
- Total magnetization: 1.51 μB/atom

***

Entry 2:
First-principles (PBE-GGA) data for KW after structural relaxation, as listed in the Alexandria database.

Cell and atoms, written as POSCAR:
```
KW
1.0
12.852 0.000 0.000
0.000 12.852 0.000
0.000 0.000 3.023
K W
8 8
Cartesian
0.000 2.922 0.000 K
0.000 9.930 0.000 K
1.995 6.426 1.512 K
2.922 0.000 0.000 K
6.426 1.995 1.512 K
6.426 10.857 1.512 K
9.930 0.000 0.000 K
10.857 6.426 1.512 K
3.652 3.652 1.512 W
3.652 9.200 1.512 W
5.048 5.048 0.000 W
5.048 7.804 0.000 W
7.804 5.048 0.000 W
7.804 7.804 0.000 W
9.200 3.652 1.512 W
9.200 9.200 1.512 W
```

Properties
- Distance to the lowest polymorph of the same formula: 34.00 kJ per mole of atoms
- Calculated volume: 31.210 Å³ per atom
- Final energy: -5.750 eV/atom
- Space-group type: P4/mmm (123)
- Formation enthalpy at 0 K: 1275 meV per atom
- Total magnetization: 0.12 μB/atom

***

Entry 3:
First-principles (PBE-GGA) data for CeSCl after structural relaxation, as listed in the Alexandria database.

Cell and atoms, written as POSCAR:
```
CeSCl
1.0
-1.775 1.775 6.220
1.775 -1.775 6.220
1.775 1.775 -6.220
Ce S Cl
1 1 1
Cartesian
0.000 0.000 0.000 Ce
0.000 0.000 4.915 S
0.000 0.000 8.027 Cl
```

Properties
- Calculated volume: 26.128 Å³ per atom
- Final energy: -5.790 eV/atom
- Space-group type: I4mm (107)
- Total magnetization: 0.28 μB/atom
- Uncorrected formation energy: -175.6 kJ/mol of atoms

***

Entry 4:
First-principles (PBE-GGA) data for YCd3Sb after structural relaxation, as listed in the Alexandria database.

Cell and atoms, written as POSCAR:
```
YCd3Sb
1.0
5.474 0.000 0.000
0.000 5.474 0.000
0.000 0.000 5.474
Y Cd Sb
1 3 1
Cartesian
0.000 0.000 0.000 Y
0.000 2.737 2.737 Cd
2.737 0.000 2.737 Cd
2.737 2.737 0.000 Cd
2.737 2.737 2.737 Sb
```

Properties
- Distance to the lowest polymorph of the same formula: 0.00 kJ per mole of atoms
- Calculated volume: 32.800 Å³ per atom
- Final energy: -2.209 eV/atom
- Space-group type: Pm-3m (221)
- Total magnetization: 0.00 μB/atom
- Uncorrected formation energy: 44.1 kJ/mol of atoms

***

Entry 5:
First-principles (PBE-GGA) data for KFeBr2 after structural relaxation, as listed in the Alexandria database.

Cell and atoms, written as POSCAR:
```
KFeBr2
1.0
-1.877 1.995 7.263
1.877 -1.995 7.263
1.877 1.995 -7.263
K Fe Br
1 1 2
Cartesian
0.000 0.000 0.000 K
0.000 1.995 3.616 Fe
1.877 0.000 4.638 Br
0.000 0.000 8.965 Br
```

Properties
- Distance to the lowest polymorph of the same formula: 17.16 kJ per mole of atoms
- Calculated volume: 27.190 Å³ per atom
- Final energy: -3.677 eV/atom
- Space-group type: Imm2 (44)
- Total magnetization: 0.80 μB/atom
- Uncorrected formation energy: -43.5 kJ/mol of atoms

***

Entry 6:
First-principles (PBE-GGA) data for Fe2Tc2Ni after structural relaxation, as listed in the Alexandria database.

Cell and atoms, written as POSCAR:
```
Fe2Tc2Ni
1.0
6.918 0.000 0.000
0.000 6.918 0.000
0.000 0.000 2.658
Fe Tc Ni
4 4 2
Cartesian
0.860 2.599 0.000 Fe
2.599 6.058 0.000 Fe
4.319 0.860 0.000 Fe
6.058 4.319 0.000 Fe
1.187 4.646 1.329 Tc
2.272 1.187 1.329 Tc
4.646 5.731 1.329 Tc
5.731 2.272 1.329 Tc
0.000 0.000 0.000 Ni
3.459 3.459 0.000 Ni
```

Properties
- Calculated volume: 12.721 Å³ per atom
- Final energy: -8.472 eV/atom
- Space-group type: P4/mbm (127)
- Formation enthalpy at 0 K: 216 meV per atom
- Total magnetization: 0.00 μB/atom

***

Entry 7:
First-principles (PBE-GGA) data for Li13Ni2 after structural relaxation, as listed in the Alexandria database.

Cell and atoms, written as POSCAR:
```
Li13Ni2
1.0
5.181 0.000 0.000
0.650 7.043 0.000
0.662 3.156 6.771
Li Ni
13 2
Cartesian
0.000 0.000 0.000 Li
1.554 5.794 4.986 Li
1.300 1.972 1.274 Li
2.262 8.408 3.942 Li
2.032 4.697 0.121 Li
2.296 4.184 2.845 Li
3.013 3.451 5.318 Li
3.480 6.749 1.454 Li
4.198 6.015 3.926 Li
4.462 5.502 6.650 Li
4.232 1.791 2.829 Li
5.194 8.227 5.497 Li
4.940 4.405 1.786 Li
1.106 6.536 2.466 Ni
5.387 3.663 4.305 Ni
```

Properties
- Calculated volume: 16.473 Å³ per atom
- Final energy: -2.374 eV/atom
- Space-group type: P-1 (2)
- Formation enthalpy at 0 K: 56 meV per atom
- Total magnetization: 0.00 μB/atom

***

Entry 8:
First-principles (PBE-GGA) data for PuThTe2 after structural relaxation, as listed in the Alexandria database.

Cell and atoms, written as POSCAR:
```
PuThTe2
1.0
3.824 0.000 0.000
0.000 3.824 0.000
0.000 0.000 7.707
Pu Th Te
1 1 2
Cartesian
0.000 0.000 0.000 Pu
0.000 0.000 3.853 Th
1.912 1.912 1.943 Te
1.912 1.912 5.764 Te
```

Properties
- Distance to the lowest polymorph of the same formula: 2.72 kJ per mole of atoms
- Calculated volume: 28.179 Å³ per atom
- Final energy: -8.046 eV/atom
- Space-group type: P4/mmm (123)
- Total magnetization: 1.61 μB/atom
- Uncorrected formation energy: -100.1 kJ/mol of atoms

***

Entry 9:
First-principles (PBE-GGA) data for Zr2CdTe after structural relaxation, as listed in the Alexandria database.

Cell and atoms, written as POSCAR:
```
Zr2CdTe
1.0
-1.777 2.495 5.210
1.777 -2.495 5.210
1.777 2.495 -5.210
Zr Cd Te
2 1 1
Cartesian
0.000 0.000 0.000 Zr
0.000 2.495 2.622 Zr
0.000 0.000 5.050 Cd
1.777 0.000 2.369 Te
```

Properties
- Distance to the lowest polymorph of the same formula: 6.03 kJ per mole of atoms
- Calculated volume: 23.099 Å³ per atom
- Final energy: -5.543 eV/atom
- Space-group type: Imm2 (44)
- Total magnetization: 0.00 μB/atom
- Uncorrected formation energy: -24.6 kJ/mol of atoms

***

Entry 10:
First-principles (PBE-GGA) data for CsRbCuI3 after structural relaxation, as listed in the Alexandria database.

Cell and atoms, written as POSCAR:
```
CsRbCuI3
1.0
9.334 -3.130 0.000
9.334 3.130 0.000
-2.860 0.000 9.987
Cs Rb Cu I
2 2 2 6
Cartesian
2.482 0.000 0.711 Cs
13.326 0.000 9.276 Cs
1.045 0.000 5.703 Rb
14.762 0.000 4.284 Rb
7.175 0.000 7.386 Cu
8.632 0.000 2.601 Cu
-0.729 0.000 2.605 I
4.712 0.000 6.694 I
6.177 0.000 1.888 I
9.631 0.000 8.099 I
11.096 0.000 3.293 I
16.537 0.000 7.382 I
```

Properties
- Calculated volume: 48.632 Å³ per atom
- Final energy: -2.725 eV/atom
- Space-group type: C2/m (12)
- Total magnetization: 0.00 μB/atom
- Uncorrected formation energy: -93.0 kJ/mol of atoms

***

Entry 11:
First-principles (PBE-GGA) data for DyZrHgPd after structural relaxation, as listed in the Alexandria database.

Cell and atoms, written as POSCAR:
```
DyZrHgPd
1.0
0.000 3.527 3.527
3.527 0.000 3.527
3.527 3.527 0.000
Dy Zr Hg Pd
1 1 1 1
Cartesian
0.000 0.000 0.000 Dy
3.527 3.527 3.527 Zr
5.291 5.291 5.291 Hg
1.764 1.764 1.764 Pd
```

Properties
- Calculated volume: 21.942 Å³ per atom
- Final energy: -5.072 eV/atom
- Space-group type: F-43m (216)
- Formation enthalpy at 0 K: -411 meV per atom
- Total magnetization: 0.15 μB/atom

***

Entry 12:
First-principles (PBE-GGA) data for NbAuF3 after structural relaxation, as listed in the Alexandria database.

Cell and atoms, written as POSCAR:
```
NbAuF3
1.0
4.262 0.000 0.000
0.000 4.262 0.000
0.000 0.000 4.262
Nb Au F
1 1 3
Cartesian
0.000 0.000 0.000 Nb
2.131 2.131 2.131 Au
0.000 0.000 2.131 F
0.000 2.131 0.000 F
2.131 0.000 0.000 F
```

Properties
- Distance to the lowest polymorph of the same formula: 0.00 kJ per mole of atoms
- Calculated volume: 15.479 Å³ per atom
- Final energy: -5.275 eV/atom
- Space-group type: Pm-3m (221)
- Total magnetization: 0.39 μB/atom
- Uncorrected formation energy: -143.1 kJ/mol of atoms

***

Entry 13:
First-principles (PBE-GGA) data for Fe2ReBr after structural relaxation, as listed in the Alexandria database.

Cell and atoms, written as POSCAR:
```
Fe2ReBr
1.0
1.486 -2.293 0.000
1.486 2.293 0.000
0.000 0.000 9.834
Fe Re Br
2 1 1
Cartesian
0.000 0.000 0.000 Fe
1.486 0.000 1.950 Fe
0.000 0.000 3.963 Re
1.486 0.000 7.667 Br
```

Properties
- Distance to the lowest polymorph of the same formula: 17.09 kJ per mole of atoms
- Calculated volume: 16.753 Å³ per atom
- Final energy: -7.033 eV/atom
- Space-group type: Cmm2 (35)
- Total magnetization: 1.35 μB/atom
- Uncorrected formation energy: 70.3 kJ/mol of atoms

***

Entry 14:
First-principles (PBE-GGA) data for GdYTc4 after structural relaxation, as listed in the Alexandria database.

Cell and atoms, written as POSCAR:
```
GdYTc4
1.0
0.000 3.833 3.833
3.833 0.000 3.833
3.833 3.833 0.000
Gd Y Tc
1 1 4
Cartesian
0.000 0.000 0.000 Gd
5.749 5.749 5.749 Y
2.875 2.875 2.875 Tc
4.791 4.791 2.875 Tc
4.791 2.875 4.791 Tc
2.875 4.791 4.791 Tc
```

Properties
- Calculated volume: 18.765 Å³ per atom
- Final energy: -10.441 eV/atom
- Space-group type: F-43m (216)
- Formation enthalpy at 0 K: -106 meV per atom
- Total magnetization: 1.02 μB/atom

***

Entry 15:
First-principles (PBE-GGA) data for AlSb2Rh after structural relaxation, as listed in the Alexandria database.

Cell and atoms, written as POSCAR:
```
AlSb2Rh
1.0
3.234 0.000 0.000
0.000 3.314 0.000
-0.006 0.000 7.673
Al Sb Rh
1 2 1
Cartesian
0.000 0.000 0.000 Al
1.606 1.657 2.172 Sb
1.622 1.657 5.501 Sb
-0.003 0.000 3.837 Rh
```

Properties
- Calculated volume: 20.558 Å³ per atom
- Final energy: -4.881 eV/atom
- Space-group type: P2/m (10)
- Total magnetization: 0.00 μB/atom
- Uncorrected formation energy: -4.4 kJ/mol of atoms

***

Entry 16:
First-principles (PBE-GGA) data for Sc2NbTlBr after structural relaxation, as listed in the Alexandria database.

Cell and atoms, written as POSCAR:
```
Sc2NbTlBr
1.0
4.865 0.000 0.000
0.000 4.865 0.000
0.000 0.000 5.559
Sc Nb Tl Br
2 1 1 1
Cartesian
0.000 2.433 0.000 Sc
2.433 0.000 0.000 Sc
0.000 0.000 2.779 Nb
2.433 2.433 2.779 Tl
2.433 2.433 0.000 Br
```

Properties
- Calculated volume: 26.318 Å³ per atom
- Final energy: -4.728 eV/atom
- Space-group type: P4/mmm (123)
- Total magnetization: 0.13 μB/atom
- Uncorrected formation energy: 60.5 kJ/mol of atoms

***

Entry 17:
First-principles (PBE-GGA) data for LaFeOs2 after structural relaxation, as listed in the Alexandria database.

Cell and atoms, written as POSCAR:
```
LaFeOs2
1.0
4.212 0.000 0.000
0.000 4.212 0.000
0.000 0.000 3.994
La Fe Os
1 1 2
Cartesian
0.000 0.000 0.000 La
2.106 2.106 0.000 Fe
0.000 2.106 1.997 Os
2.106 0.000 1.997 Os
```

Properties
- Distance to the lowest polymorph of the same formula: 62.36 kJ per mole of atoms
- Calculated volume: 17.713 Å³ per atom
- Final energy: -8.243 eV/atom
- Space-group type: P4/mmm (123)
- Formation enthalpy at 0 K: 719 meV per atom
- Total magnetization: 0.72 μB/atom

***

Entry 18:
First-principles (PBE-GGA) data for Zn2CdPd4 after structural relaxation, as listed in the Alexandria database.

Cell and atoms, written as POSCAR:
```
Zn2CdPd4
1.0
-3.123 3.123 3.002
3.123 -3.123 3.002
3.123 3.123 -3.002
Zn Cd Pd
2 1 4
Cartesian
3.123 0.000 0.000 Zn
0.000 3.123 0.000 Zn
0.000 0.000 0.000 Cd
1.562 1.562 -1.501 Pd
1.562 -1.562 1.501 Pd
-1.562 1.562 1.501 Pd
1.562 1.562 1.501 Pd
```

Properties
- Calculated volume: 16.732 Å³ per atom
- Final energy: -3.772 eV/atom
- Space-group type: I4/mmm (139)
- Formation enthalpy at 0 K: -310 meV per atom
- Total magnetization: 0.00 μB/atom

***

Entry 19:
First-principles (PBE-GGA) data for Ba2CrSe after structural relaxation, as listed in the Alexandria database.

Cell and atoms, written as POSCAR:
```
Ba2CrSe
1.0
4.058 -2.336 0.000
4.058 2.336 0.000
-2.678 0.000 8.707
Ba Cr Se
2 1 1
Cartesian
1.355 0.000 1.927 Ba
4.082 0.000 6.780 Ba
-1.339 0.000 4.354 Cr
4.058 0.000 0.000 Se
```

Properties
- Calculated volume: 41.258 Å³ per atom
- Final energy: -4.656 eV/atom
- Space-group type: C2/m (12)
- Total magnetization: 1.45 μB/atom
- Uncorrected formation energy: -40.3 kJ/mol of atoms

***

Entry 20:
First-principles (PBE-GGA) data for AsPd6O12 after structural relaxation, as listed in the Alexandria database.

Cell and atoms, written as POSCAR:
```
AsPd6O12
1.0
4.534 2.618 2.970
-4.534 2.618 2.970
0.000 -5.236 2.970
As Pd O
1 6 12
Cartesian
0.000 0.000 0.000 As
-2.011 0.348 2.973 Pd
0.704 -1.916 2.973 Pd
-1.307 -1.568 5.938 Pd
1.307 1.568 2.973 Pd
-0.704 1.916 5.938 Pd
2.011 -0.348 5.938 Pd
-3.112 -3.278 4.958 O
-4.395 1.056 3.953 O
-1.185 -1.545 3.623 O
1.283 -4.334 3.953 O
-1.930 0.253 5.287 O
-0.746 1.798 3.623 O
0.746 -1.798 5.287 O
1.930 -0.253 3.623 O
-1.283 4.334 4.958 O
1.185 1.545 5.287 O
4.395 -1.056 4.958 O
3.112 3.278 3.953 O
```

Properties
- Calculated volume: 11.133 Å³ per atom
- Final energy: -5.402 eV/atom
- Space-group type: R-3 (148)
- Total magnetization: 0.00 μB/atom
- Uncorrected formation energy: -37.3 kJ/mol of atoms